--- 1 ---
Compound: Tb3DyTm3
Source: the Alexandria database
Functional: PBE
Structure: relaxed

The structure belongs to space group R-3 (No. 148, hexagonal axes); the cell edges are 6.1132, 6.1132 and 42.1962 Å and the angles 90.00°, 90.00° and 120.00°. The distinct sites, in fractional coordinates, are Tb at (0.0002, 0.3313, 0.1322), Dy at (0.0000, 0.0000, 0.3333) and Tm at (0.0001, 0.3340, 0.9340).

The magnetization is 0.00 μB/f.u.



--- 2 ---
Compound: Tb3DyTm3
Source: the Alexandria database
Functional: PBE
Structure: relaxed

The structure belongs to space group P6_3/m (No. 176); the cell edges are 9.4944, 9.4944 and 5.6054 Å and the angles 90.00°, 90.00° and 120.00°. The distinct sites, in fractional coordinates, are Tb at (0.0479, 0.8080, 0.2500), Dy at (0.3333, 0.6667, 0.2500) and Tm at (0.0948, 0.6180, 0.7500).

The magnetization is 0.00 μB/f.u.



The calculated energies rank the structures as follows, beginning with the most stable: 2, 1.



--- 1 ---
Compound: Tb4Dy5Tm
Source: the Alexandria database
Functional: PBE
Structure: relaxed

The structure belongs to space group I4mm (No. 107); the cell edges are 10.538, 10.538 and 5.864 Å and the angles 90.00°, 90.00° and 90.00°. The distinct sites, in fractional coordinates, are Tb at (0.000, 0.323, 0.000), Dy at (0.000, 0.000, 0.239), Dy at (0.189, 0.189, 0.504) and Tm at (0.000, 0.000, 0.766).

The magnetization is 0.00 μB/f.u.



--- 2 ---
Compound: Tb4Dy5Tm
Source: the Alexandria database
Functional: PBE
Structure: relaxed

The structure belongs to space group C2/m (No. 12); the cell edges are 25.328, 3.530 and 7.065 Å and the angles 90.00°, 98.02° and 90.00°. The distinct sites, in fractional coordinates, are Tb at (0.099, 0.000, 0.299), Tb at (0.200, 0.500, 0.100), Dy at (0.000, 0.500, 0.500), Dy at (0.099, 0.000, 0.800), Dy at (0.200, 0.500, 0.600) and Tm at (0.000, 0.500, 0.000).

The magnetization is 0.00 μB/f.u.



The calculated energies rank the structures as follows, beginning with the most stable: 2, 1.



--- 1 ---
Compound: Tb4Dy3Tm5
Source: the Alexandria database
Functional: PBE
Structure: relaxed

The structure belongs to space group C2/m (No. 12); the cell edges are 15.839, 5.828 and 9.198 Å and the angles 90.00°, 116.45° and 90.00°. The distinct sites, in fractional coordinates, are Tb at (0.082, 0.000, 0.442), Tb at (0.213, 0.000, 0.880), Dy at (0.000, 0.500, 0.000), Dy at (0.210, 0.000, 0.235), Tm at (0.000, 0.000, 0.000), Tm at (0.072, 0.500, 0.700) and Tm at (0.172, 0.500, 0.385).

The magnetization is 0.52 μB/f.u.



--- 2 ---
Compound: Tb4Dy3Tm5
Source: the Alexandria database
Functional: PBE
Structure: relaxed

The structure belongs to space group P-1 (No. 2); the cell edges are 6.092, 7.041 and 8.609 Å and the angles 90.01°, 90.06° and 90.10°. The distinct sites, in fractional coordinates, are Tb at (0.167, 0.250, 0.167), Tb at (0.332, 0.500, 0.832), Dy at (0.000, 0.000, 0.500), Dy at (0.167, 0.751, 0.167), Tm at (0.000, 0.500, 0.500), Tm at (0.334, 0.000, 0.832) and Tm at (0.500, 0.249, 0.500).

The magnetization is 0.00 μB/f.u.



The calculated energies rank the structures as follows, beginning with the most stable: 2, 1.



--- 1 ---
Compound: Tb3Dy2Tm8
Source: the Alexandria database
Functional: PBE
Structure: relaxed

The structure belongs to space group C2/m (No. 12); the cell edges are 20.095, 7.531 and 5.517 Å and the angles 90.00°, 90.02° and 90.00°. The distinct sites, in fractional coordinates, are Tb at (0.000, 0.000, 0.000), Tb at (0.000, 0.287, 0.500), Dy at (0.241, 0.000, 0.999), Tm at (0.109, 0.288, 0.000), Tm at (0.133, 0.000, 0.500) and Tm at (0.167, 0.500, 0.501).

The magnetization is 0.00 μB/f.u.



--- 2 ---
Compound: Tb3Dy2Tm8
Source: the Alexandria database
Functional: PBE
Structure: relaxed

The structure belongs to space group P-1 (No. 2); the cell edges are 6.072, 6.077 and 11.080 Å and the angles 89.94°, 79.47° and 80.44°. The distinct sites, in fractional coordinates, are Tb at (0.000, 0.000, 0.000), Tb at (0.231, 0.462, 0.077), Dy at (0.384, 0.769, 0.462), Tm at (0.077, 0.154, 0.692), Tm at (0.154, 0.307, 0.385), Tm at (0.308, 0.615, 0.768) and Tm at (0.462, 0.924, 0.155).

The magnetization is 0.00 μB/f.u.



The calculated energies rank the structures as follows, beginning with the most stable: 2, 1.